A relaxed Ca2AcCeAs4 crystal, computed with GGA-PBE.

abc: 7.3627 4.3805 7.5784
angles: 90.00 110.23 90.00
Closest atoms and distances in Å follow each position.
Fractional positions:
Ca (0.0000, 0.0000, 0.0000)  6 As 3.01-3.02
Ca (0.0000, 0.5000, 0.5000)  6 As 3.14-3.16
Ac (0.5000, 0.0000, 0.5000)  6 As 3.12
Ce (0.5000, 0.5000, 0.0000)  6 As 2.97-2.98
As (0.2488, 0.5000, 0.2334)  1 Ce 2.97, 3 Ca 3.01-3.16, 2 Ac 3.12
As (0.2597, 0.0000, 0.7673)  2 Ce 2.98, 3 Ca 3.02-3.14, 1 Ac 3.12
As (0.7403, 0.0000, 0.2327)  2 Ce 2.98, 3 Ca 3.02-3.14, 1 Ac 3.12
As (0.7512, 0.5000, 0.7666)  1 Ce 2.97, 3 Ca 3.01-3.16, 2 Ac 3.12

Values from the calculation:
E = -5.281 eV per atom
ΔH_f (0 K) = -926 kJ/mol of formula units
Fermi-level density of states = 1.17 states/eV/atom
Magnetization = 0.000 μB/atom